Entry 1:
Re3Os4 | the Alexandria database | GGA-PBE | relaxed; energy relative to the elements = 0.56 eV/atom; polymorph energy (0 for the lowest one) = 480 meV/atom; VASP energy = -78.38 eV for the cell shown; crystal system = tetragonal; symmetry = I4/mmm
1.0
-1.635 1.635 9.831
1.635 -1.635 9.831
1.635 1.635 -9.831
Re Os
3 4
Direct
0.354 0.354 0.000
0.500 0.500 0.000
0.646 0.646 0.000
0.930 0.930 0.000
0.211 0.211 0.000
0.070 0.070 0.000
0.789 0.789 0.000


Entry 2:
La6Tb2Sm5 | the Alexandria database | GGA-PBE | relaxed; energy relative to the elements = 0.10 eV/atom; VASP energy = -122.27 eV for the cell shown; crystal system = orthorhombic; symmetry = Pbam
1.0
3.675 0.000 0.000
0.000 11.887 0.000
0.000 0.000 21.151
Sm La Tb
10 12 4
Direct
0.500 0.303 0.443
0.500 0.908 0.773
0.500 0.500 0.000
0.500 0.000 0.500
0.500 0.697 0.557
0.500 0.592 0.273
0.500 0.197 0.943
0.500 0.803 0.057
0.500 0.408 0.727
0.500 0.092 0.227
0.000 0.918 0.632
0.000 0.938 0.920
0.500 0.674 0.863
0.000 0.082 0.368
0.000 0.418 0.868
0.000 0.562 0.420
0.000 0.062 0.080
0.500 0.326 0.137
0.000 0.438 0.580
0.500 0.826 0.363
0.000 0.582 0.132
0.500 0.174 0.637
0.000 0.666 0.710
0.000 0.334 0.290
0.000 0.166 0.790
0.000 0.834 0.210


Entry 3:
NaC2O2 | the Alexandria database | GGA-PBE | relaxed; VASP energy = -138.82 eV for the cell shown; crystal system = monoclinic; symmetry = P2_1/c; E_form (uncorrected) = -1.0045 eV/atom
1.0
6.912 0.000 0.000
0.000 3.557 0.005
0.000 0.407 10.495
O Na C
8 4 8
Direct
0.040 0.201 0.790
0.312 0.769 0.993
0.688 0.231 0.007
0.812 0.231 0.507
0.188 0.769 0.493
0.540 0.799 0.710
0.460 0.201 0.290
0.960 0.799 0.210
0.056 0.299 0.350
0.444 0.299 0.850
0.556 0.701 0.150
0.944 0.701 0.650
0.860 0.107 0.001
0.515 0.908 0.595
0.140 0.893 0.999
0.015 0.092 0.905
0.640 0.107 0.501
0.985 0.908 0.095
0.360 0.893 0.499
0.485 0.092 0.405


Number 1: magnetic moment 1.23 Bohr magnetons per cell. Number 2: magnetic moment 0.00 Bohr magnetons per cell. Number 3: magnetic moment 0.00 Bohr magnetons per cell.